[1]
# TcP2Se

An optimized crystal structure of TcP2Se (GGA-PBE, Alexandria via LeMat-Bulk).

abc: 3.1207 4.6290 5.4739
angles: 49.98 90.00 90.00
Last column: nearest neighbours and their distance in Å.
Sites, in units of the cell vectors:
P 0.5000 0.5000 0.0000  4 Tc 2.67, 2 Se 2.74, 4 P 2.79
Tc 0.0000 0.0000 0.5000  6 P 2.67-2.74, 4 Se 2.79
Se 0.5000 0.5000 0.5000  6 P 2.67-2.74, 4 Tc 2.79
P 0.0000 0.0000 0.0000  4 Se 2.67, 2 Tc 2.74, 4 P 2.79

## Properties
Its crystal system is monoclinic. The energy relative to the elements, uncorrected comes out at 2.3 eV/f.u. For the raw total energy, the calculation gives -5.58 eV/atom.

---

[2]
# Nd2AgBr2

An optimized crystal structure of Nd2AgBr2 (GGA-PBE, Alexandria via LeMat-Bulk).

abc: 4.1755 4.1755 11.5358
angles: 79.57 79.57 60.00
Last column: nearest neighbours and their distance in Å.
Sites, in units of the cell vectors:
Ag 0.0000 0.0000 0.0000  6 Nd 3.07
Br 0.2216 0.2216 0.3351  3 Nd 3.05
Br 0.7784 0.7784 0.6649  3 Nd 3.05
Nd 0.3896 0.3896 0.8312  3 Br 3.05, 3 Ag 3.07
Nd 0.6104 0.6104 0.1688  3 Br 3.05, 3 Ag 3.07

## Properties
Its crystal system is trigonal. The energy relative to the elements, uncorrected comes out at -5.2 eV/f.u. For the raw total energy, the calculation gives -4.18 eV/atom.

---

[3]
# Sr3BiI2

An optimized crystal structure of Sr3BiI2 (GGA-PBE, Alexandria via LeMat-Bulk).

abc: 4.9105 6.7585 8.3048
angles: 114.01 107.20 90.00
Last column: nearest neighbours and their distance in Å.
Sites, in units of the cell vectors:
Bi 0.0000 0.5000 0.0000  6 Sr 3.29-3.38
Sr 0.6525 0.6525 0.3051  2 Bi 3.29, 4 I 3.39-3.53
I 0.6712 0.1712 0.3424  6 Sr 3.39-3.53
Sr 0.3475 0.3475 0.6949  2 Bi 3.29, 4 I 3.39-3.53
I 0.3288 0.8288 0.6576  6 Sr 3.39-3.53
Sr 0.0000 0.0000 0.0000  2 Bi 3.38, 4 I 3.47

## Properties
Its crystal system is orthorhombic. The energy relative to the elements, uncorrected comes out at -7.1 eV/f.u. For the raw total energy, the calculation gives -3.19 eV/atom.

---

[4]
# KLa2

An optimized crystal structure of KLa2 (GGA-PBE, Alexandria via LeMat-Bulk).

abc: 8.7846 8.7846 8.3550
angles: 74.15 74.15 24.23
Last column: nearest neighbours and their distance in Å.
Sites, in units of the cell vectors:
La 0.3614 0.3614 0.2771  6 La 3.59-3.69, 4 K 3.95
K 0.6838 0.6838 0.6073  4 K 3.69-3.70, 3 La 3.94-3.95
La 0.3608 0.3608 0.7783  6 La 3.69-3.70
K 0.0388 0.0388 0.9475  4 K 3.69-3.70, 3 La 3.95
La 0.0034 0.0034 0.4359  6 La 3.59-3.70, 1 K 3.95
La 0.7184 0.7184 0.1207  6 La 3.60-3.70, 1 K 3.94

## Properties
The formation energy from the elements comes out at 0.3299 eV/atom. Its crystal system is monoclinic. For the raw total energy, the calculation gives -3.32 eV/atom.

---

[5]
# SmZnTe2

An optimized crystal structure of SmZnTe2 (GGA-PBE, Alexandria via LeMat-Bulk).

abc: 4.4886 4.4886 9.1819
angles: 75.85 75.85 60.00
Last column: nearest neighbours and their distance in Å.
Sites, in units of the cell vectors:
Zn 0.0000 0.0000 0.0000  2 Te 2.63
Te 0.0994 0.0994 0.7018  1 Zn 2.63
Te 0.9006 0.9006 0.2982  1 Zn 2.63
Sm 0.5000 0.5000 0.5000  6 Te 3.14

## Properties
Its crystal system is trigonal. The energy relative to the elements, uncorrected comes out at -2.7 eV/f.u. For the raw total energy, the calculation gives -3.75 eV/atom.

---

[6]
# TmMnCo10

An optimized crystal structure of TmMnCo10 (GGA-PBE, Alexandria via LeMat-Bulk).

abc: 4.0094 4.7459 8.2844
angles: 90.00 90.00 90.00
Last column: nearest neighbours and their distance in Å.
Sites, in units of the cell vectors:
Mn 0.0000 0.5000 0.5000  6 Co 2.52-2.70
Co 0.0000 0.5000 0.8045  6 Co 2.38-2.58, 1 Mn 2.52
Co 0.5000 0.7494 0.2527  8 Co 2.37-2.45
Co 0.5000 0.2506 0.2527  8 Co 2.37-2.45
Co 0.5000 0.7494 0.7473  8 Co 2.37-2.45
Co 0.0000 0.0000 0.3455  7 Co 2.38-2.56
Co 0.5000 0.0000 0.5000  8 Co 2.37-2.38
Co 0.5000 0.5000 0.0000  8 Co 2.40-2.58
Tm 0.0000 0.0000 0.0000  18 Co 2.86-3.13
Co 0.5000 0.2506 0.7473  8 Co 2.37-2.45
Co 0.0000 0.0000 0.6545  7 Co 2.38-2.56
Co 0.0000 0.5000 0.1955  6 Co 2.38-2.58, 1 Mn 2.52

## Properties
The formation energy from the elements comes out at 0.0531 eV/atom. Its crystal system is orthorhombic. For the raw total energy, the calculation gives -7.01 eV/atom.

---

[7]
# CaCr2Cl

An optimized crystal structure of CaCr2Cl (GGA-PBE, Alexandria via LeMat-Bulk).

abc: 5.9952 3.1269 4.3700
angles: 90.19 90.00 90.00
Last column: nearest neighbours and their distance in Å.
Sites, in units of the cell vectors:
Cr 0.0000 0.5481 0.4153  1 Cr 1.92
Ca 0.5000 0.2500 0.2500  4 Cl 2.68-2.69
Cl 0.5000 0.7500 0.7500  4 Ca 2.68-2.69
Cr 0.0000 0.9519 0.0847  1 Cr 1.92

## Properties
Its crystal system is monoclinic. The energy relative to the elements, uncorrected comes out at 1.0 eV/f.u. For the raw total energy, the calculation gives -5.52 eV/atom.

---

[8]
# BeZnAu

An optimized crystal structure of BeZnAu (GGA-PBE, Alexandria via LeMat-Bulk).

abc: 3.9806 3.9806 3.9806
angles: 60.00 60.00 60.00
Last column: nearest neighbours and their distance in Å.
Sites, in units of the cell vectors:
Be 0.7500 0.7500 0.7500  4 Au 2.44, 4 Zn 2.44
Au 0.5000 0.5000 0.5000  4 Be 2.44
Zn 0.0000 0.0000 0.0000  4 Be 2.44

## Properties
The formation energy from the elements comes out at -0.0206 eV/atom. Its crystal system is cubic. For the raw total energy, the calculation gives -2.78 eV/atom.

---

[9]
# CaCuP4Ru2O14

An optimized crystal structure of CaCuP4Ru2O14 (GGA-PBE, Alexandria via LeMat-Bulk).

abc: 4.9713 7.0974 8.3557
angles: 93.48 92.95 109.39
Last column: nearest neighbours and their distance in Å.
Sites, in units of the cell vectors:
Ru 0.5336 0.5136 0.5170  6 O 2.09-2.16
P 0.9777 0.3447 0.7298  4 O 1.52-1.60
O 0.9525 0.1527 0.8094  1 P 1.52
Cu 0.6361 0.8686 0.2536  2 O 1.90-1.92
O 0.9465 0.7061 0.4564  1 P 1.54
O 0.3650 0.6342 0.3278  1 P 1.57
O 0.2363 0.8981 0.8358  1 P 1.55
O 0.5355 0.2562 0.3765  1 P 1.54
Ru 0.0341 0.0099 0.0101  6 O 2.06-2.13
O 0.1349 0.8536 0.1987  1 P 1.52
O 0.1782 0.5313 0.8471  2 P 1.60-1.62
O 0.8603 0.4861 0.1885  2 P 1.59-1.61
P 0.4056 0.7503 0.8264  4 O 1.52-1.62
O 0.4213 0.2326 0.0674  1 P 1.51
P 0.0742 0.6723 0.2970  4 O 1.52-1.59
O 0.5051 0.7620 0.6540  1 P 1.55
O 0.1258 0.3343 0.5720  1 P 1.55
P 0.6436 0.2633 0.2062  4 O 1.51-1.61
O 0.6799 0.3626 0.6971  1 P 1.54
Ca 0.2778 0.0516 0.5935  5 O 2.34-2.61
O 0.6382 0.7791 0.9602  1 P 1.52
O 0.8377 0.1296 0.1930  1 P 1.57

## Properties
Its crystal system is triclinic. The energy relative to the elements, uncorrected comes out at -38.8 eV/f.u. For the raw total energy, the calculation gives -7.02 eV/atom.

---

[10]
# Sc2In3Cl9

An optimized crystal structure of Sc2In3Cl9 (GGA-PBE, Alexandria via LeMat-Bulk).

abc: 9.4626 9.4626 9.4626
angles: 83.00 83.00 83.00
Last column: nearest neighbours and their distance in Å.
Sites, in units of the cell vectors:
In 0.4458 0.7500 0.0542  6 Cl 3.30-3.50
Cl 0.9195 0.0716 0.7298  1 Sc 2.40
Cl 0.2298 0.5716 0.4195  1 Sc 2.40
Cl 0.4033 0.0967 0.2500  2 Sc 2.63
Cl 0.4195 0.2298 0.5716  1 Sc 2.40
In 0.9458 0.5542 0.2500  6 Cl 3.30-3.50
Sc 0.3481 0.3481 0.3481  6 Cl 2.40-2.63
Sc 0.8481 0.8481 0.8481  6 Cl 2.40-2.63
Sc 0.6519 0.6519 0.6519  6 Cl 2.40-2.63
Sc 0.1519 0.1519 0.1519  6 Cl 2.40-2.63
Cl 0.7702 0.4284 0.5805  1 Sc 2.40
Cl 0.5805 0.7702 0.4284  1 Sc 2.40
Cl 0.2500 0.4033 0.0967  2 Sc 2.63
Cl 0.0967 0.2500 0.4033  2 Sc 2.63
Cl 0.7500 0.5967 0.9033  2 Sc 2.63
Cl 0.7298 0.9195 0.0716  1 Sc 2.40
Cl 0.2702 0.0805 0.9284  1 Sc 2.40
Cl 0.0805 0.9284 0.2702  1 Sc 2.40
In 0.0542 0.4458 0.7500  6 Cl 3.30-3.50
In 0.7500 0.0542 0.4458  6 Cl 3.30-3.50
Cl 0.5967 0.9033 0.7500  2 Sc 2.63
Cl 0.0716 0.7298 0.9195  1 Sc 2.40
Cl 0.5716 0.4195 0.2298  1 Sc 2.40
Cl 0.4284 0.5805 0.7702  1 Sc 2.40
Cl 0.9033 0.7500 0.5967  2 Sc 2.63
In 0.5542 0.2500 0.9458  6 Cl 3.30-3.50
In 0.2500 0.9458 0.5542  6 Cl 3.30-3.50
Cl 0.9284 0.2702 0.0805  1 Sc 2.40

## Properties
Its crystal system is trigonal. The energy relative to the elements, uncorrected comes out at -21.8 eV/f.u. For the raw total energy, the calculation gives -4.23 eV/atom.

---

[11]
# Mn2BeTe

An optimized crystal structure of Mn2BeTe (GGA-PBE, Alexandria via LeMat-Bulk).

abc: 3.3253 3.3253 5.2825
angles: 90.00 90.00 90.00
Last column: nearest neighbours and their distance in Å.
Sites, in units of the cell vectors:
Be 0.5000 0.5000 0.8073  5 Mn 2.27-2.51
Mn 0.5000 0.5000 0.2366  1 Be 2.27
Mn 0.0000 0.0000 0.9749  4 Be 2.51, 2 Te 2.61-2.67, 4 Mn 2.73
Te 0.0000 0.0000 0.4813  6 Mn 2.61-2.68, 4 Be 2.91

## Properties
Its crystal system is tetragonal. The energy relative to the elements, uncorrected comes out at 1.1 eV/f.u. For the raw total energy, the calculation gives -6.02 eV/atom.

---

[12]
# La3Al4Au2

An optimized crystal structure of La3Al4Au2 (GGA-PBE, Alexandria via LeMat-Bulk).

abc: 4.6127 6.0335 8.9394
angles: 104.90 90.00 112.47
Last column: nearest neighbours and their distance in Å.
Sites, in units of the cell vectors:
Au 0.6632 0.3264 0.3239  3 Al 2.58-2.62
Al 0.7245 0.4491 0.0659  1 Au 2.58, 2 Al 2.72
La 0.6286 0.2572 0.6908  4 Au 3.22-3.41, 8 Al 3.22-3.42
La 0.3714 0.7428 0.3092  4 Au 3.22-3.41, 8 Al 3.22-3.42
Au 0.3368 0.6736 0.6761  3 Al 2.58-2.62
La 0.0000 0.0000 0.0000  8 Al 3.28-3.64
Al 0.8965 0.7930 0.5762  3 Au 2.62-2.93
Al 0.2755 0.5509 0.9341  1 Au 2.58, 2 Al 2.72
Al 0.1035 0.2070 0.4238  3 Au 2.62-2.93

## Properties
The formation energy from the elements comes out at -0.6067 eV/atom. Its crystal system is monoclinic. For the raw total energy, the calculation gives -4.64 eV/atom.